# 1
## MgZnPt (SCAN)

Data for MgZnPt at its PBEsol-relaxed geometry.

For the formation energy, the calculation gives -2.0 eV/f.u. The density is 10.5 g/cm³.

The structure belongs to space group Imm2 (No. 44); the cell edges are 2.8656, 3.7610 and 8.3967 Å and the angles 90.00°, 90.00° and 90.00°. The inequivalent atoms are Mg at (0.0000, 0.0000, 0.0000), Zn at (0.0000, 0.0000, 0.3213) and Pt at (0.0000, 0.0000, 0.6662).

# 2
## MgZn2Pt (SCAN)

Data for MgZn2Pt at its PBEsol-relaxed geometry.

For the formation energy, the calculation gives -2.4 eV/f.u. The density is 10.0 g/cm³.

The structure belongs to space group I4/mmm (No. 139); the cell edges are 3.8372, 3.8372 and 7.9060 Å and the angles 90.00°, 90.00° and 90.00°. The inequivalent atoms are Mg at (0.0000, 0.0000, 0.0000), Zn at (0.0000, 0.5000, 0.2500) and Pt at (0.0000, 0.0000, 0.5000).

# 3
## Mg2ZnPt (SCAN)

Data for Mg2ZnPt at its PBEsol-relaxed geometry.

For the formation energy, the calculation gives -2.4 eV/f.u. The density is 7.8 g/cm³.

The structure belongs to space group Cm (No. 8); the cell edges are 9.9057, 3.0109 and 4.6724 Å and the angles 90.00°, 108.78° and 90.00°. The inequivalent atoms are Mg at (0.0000, 0.0000, 0.0000), Mg at (0.2123, 0.0000, 0.6547), Zn at (0.2577, 0.5000, 0.1951) and Pt at (0.4703, 0.0000, 0.4862).

# 4
## MgZn2Pt (SCAN)

Data for MgZn2Pt at its PBEsol-relaxed geometry.

For the formation energy, the calculation gives -2.2 eV/f.u. The density is 9.9 g/cm³.

The structure belongs to space group I-4m2 (No. 119); the cell edges are 3.8318, 3.8318 and 8.0158 Å and the angles 90.00°, 90.00° and 90.00°. The inequivalent atoms are Mg at (0.0000, 0.0000, 0.0000), Zn at (0.0000, 0.0000, 0.5000), Zn at (0.0000, 0.5000, 0.7500) and Pt at (0.0000, 0.5000, 0.2500).

| no. | total energy (Ry per atom) |
| --- | --- |
| 1 | -2.223 |
| 2 | -1.923 |
| 3 | -1.764 |
| 4 | -1.919 |